The following is a DFT calculation (PBE) of a relaxed structure of Sm2Cu2I.

## Properties
M_tot ... 0.0 μB/f.u.
E ... -21.17 eV for the cell shown

Cell: 4.1574 4.1574 8.4217 Å, 90.00 90.00 120.00°
With the nearest neighbours (Å) after each atom.
Space group P-6m2 (No. 187)
Symmetry-distinct sites (fractional):
Sm: 0.0000 0.0000 0.2106  6 Cu 2.98
Cu: 0.3333 0.6667 0.0000  3 Cu 2.40
Cu: 0.6667 0.3333 0.0000  3 Cu 2.40
I: 0.6667 0.3333 0.5000  6 Sm 3.42